Entry 1:
KScTe2I after structural relaxation. Source: the Alexandria database, functional PBE-GGA.

```
5
Lattice="5.573 0.000 0.000 0.000 5.573 0.000 0.000 0.000 6.132" Properties=species:S:1:pos:R:3 pbc="T T T"
I 0.000 0.000 3.066
Sc 0.000 0.000 0.000
K 2.787 2.787 3.066
Te 0.000 2.787 0.000
Te 2.787 0.000 0.000
```

**Electronic total energy**: -0.1476 hartree per atom
**Formation energy from raw total energies**: -964 meV per atom
**E above lowest polymorph**: 0.000 eV per atom
**N(E_F)**: 1.029 states/eV/atom

Entry 2:
TiAg3B after structural relaxation. Source: the Alexandria database, functional PBE-GGA.

```
5
Lattice="-1.541 2.994 -2.777 -2.952 -2.868 -1.454 -2.822 1.365 3.037" Properties=species:S:1:pos:R:3 pbc="T T T"
B 0.000 0.000 0.000
Ag -1.476 -1.434 -0.727
Ag -1.411 0.682 1.519
Ag -0.770 1.497 -1.389
Ti -3.657 0.746 -0.597
```

**Electronic total energy**: -0.1506 hartree per atom
**E above lowest polymorph**: 0.000 eV per atom
**N(E_F)**: 0.627 states/eV/atom
**Energy of formation from the pure elements**: 50.8 kJ per mole of atoms